A plane-wave DFT calculation with PBE was carried out for crystalline Zr4Co2Ru at its relaxed geometry.

Computed properties:
- Space-group type: R-3m (166)
- V: 18.3 Å³/atom
- Electronic total energy: -8.5261 eV/atom

a = 7.6771 Å, b = 7.6771 Å, c = 7.6771 Å
α = 34.29°, β = 34.29°, γ = 34.29°
Closest atoms and distances in Å follow each position.
Atoms (fractional coordinates):
Zr: 0.1201 0.1201 0.1201  4 Co 2.72-2.77, 3 Ru 2.80
Zr: 0.3708 0.3708 0.3708  4 Co 2.66-2.81, 1 Ru 2.80
Zr: 0.6292 0.6292 0.6292  4 Co 2.66-2.81, 1 Ru 2.80
Zr: 0.8799 0.8799 0.8799  4 Co 2.72-2.77, 3 Ru 2.80
Co: 0.2480 0.2480 0.2480  8 Zr 2.66-2.81
Co: 0.7520 0.7520 0.7520  8 Zr 2.66-2.81
Ru: 0.5000 0.5000 0.5000  8 Zr 2.80